# 1
The following is a DFT calculation (GGA-PBE) of a geometry-optimized ThInCo structure.

Structure (POSCAR):
```
ThInCo
1.0
0.000 3.376 3.376
3.376 0.000 3.376
3.376 3.376 0.000
Th In Co
1 1 1
Cartesian
0.000 0.000 0.000
5.063 5.063 5.063
3.376 3.376 3.376
```

Summary:
Calculated volume ... 25.6 A^3/atom
Space-group type ... F-43m
Total energy ... -15.7 eV per cell

=====

# 2
The following is a DFT calculation (GGA-PBE) of a geometry-optimized MgZn2Cu5 structure.

Structure (POSCAR):
```
MgZn2Cu5
1.0
4.180 0.000 0.000
0.000 4.180 0.000
0.000 0.000 5.947
Mg Zn Cu
1 2 5
Cartesian
0.000 0.000 0.000
0.000 0.000 2.973
2.090 2.090 0.000
0.000 2.090 1.554
0.000 2.090 4.392
2.090 0.000 1.554
2.090 0.000 4.392
2.090 2.090 2.973
```

Summary:
Calculated volume ... 13.0 A^3/atom
Space-group type ... P4/mmm
Total energy ... -23.2 eV per cell

=====

# 3
The following is a DFT calculation (GGA-PBE) of a geometry-optimized Pr2SnAu structure.

Structure (POSCAR):
```
Pr2SnAu
1.0
4.624 0.000 0.000
0.000 2.153 5.860
0.000 -2.153 5.860
Pr Sn Au
2 1 1
Cartesian
0.000 0.000 0.000
2.312 0.000 3.293
2.312 0.000 6.579
0.000 0.000 8.530
```

Summary:
Calculated volume ... 29.2 A^3/atom
Space-group type ... Amm2
Total energy ... -19.8 eV per cell